[1]
First-principles (PBE) data for a geometry-optimized CaNdSmOs structure, as listed in Alexandria via LeMat-Bulk.

extended XYZ file:
```
4
Lattice="-0.9341 1.9762 -4.7537 -4.8142 -0.2435 -2.0346 -2.8492 4.3589 -0.5074" Properties=species:S:1:pos:R:3 pbc="T T T"
Nd -2.1494 1.5229 -1.8239
Ca -4.2988 3.0458 -3.6479
Os 0.0000 0.0000 0.0000
Sm -6.4482 4.5686 -5.4718
```

Values from the calculation:
ΔE_f = 0.18 eV/atom
Energy = -5.50 eV/atom



[2]
First-principles (PBE) data for a geometry-optimized CaNd2P structure, as listed in Alexandria via LeMat-Bulk.

extended XYZ file:
```
4
Lattice="-0.9765 2.9146 -2.5973 -0.5279 -0.8686 -3.8938 -10.1001 -1.0332 -0.4797" Properties=species:S:1:pos:R:3 pbc="T T T"
P 0.0000 0.0000 0.0000
Ca -5.8023 0.5064 -3.4854
Nd -2.0810 0.3998 -1.8866
Nd -9.5235 0.6131 -5.0842
```

Values from the calculation:
ΔE_f = -0.70 eV/atom
Energy = -4.94 eV/atom



| no. | size of the total moment (μB per formula unit) |
| --- | --- |
| 1 | 0.00 |
| 2 | 0.00 |